# LaAsRh2, optimized geometry, DFT PBE
# - Formation enthalpy at 0 K: -2.22 eV per formula unit
# - Density of states at the Fermi level: 2.8 states/eV/cell
data_LaAsRh2
_chemical_formula_sum 'La1 As1 Rh2'
_cell_length_a 4.3736
_cell_length_b 4.3736
_cell_length_c 3.9089
_cell_angle_alpha 90.00
_cell_angle_beta 90.00
_cell_angle_gamma 90.00
_space_group_name_H-M_alt 'P 4/m m m'
_space_group_IT_number 123
_space_group_name_Hall '-P 4 2'
loop_
_atom_site_label
_atom_site_type_symbol
_atom_site_fract_x
_atom_site_fract_y
_atom_site_fract_z
La1 La 0.0000 0.0000 0.0000
As1 As 0.5000 0.5000 0.0000
Rh1 Rh 0.0000 0.5000 0.5000

***

# La2As3Rh6, optimized geometry, DFT PBE
# - Formation enthalpy at 0 K: -8.31 eV per formula unit
# - Density of states at the Fermi level: 6.2 states/eV/cell
data_La2As3Rh6
_chemical_formula_sum 'La2 As3 Rh6'
_cell_length_a 7.2555
_cell_length_b 7.2555
_cell_length_c 4.4440
_cell_angle_alpha 90.00
_cell_angle_beta 90.00
_cell_angle_gamma 120.00
_space_group_name_H-M_alt 'P -6 2 m'
_space_group_IT_number 189
_space_group_name_Hall 'P -6 -2'
loop_
_atom_site_label
_atom_site_type_symbol
_atom_site_fract_x
_atom_site_fract_y
_atom_site_fract_z
La1 La 0.3333 0.6667 0.0000
As1 As 0.0000 0.6163 0.5000
Rh1 Rh 0.0000 0.2706 0.5000
Rh2 Rh 0.0000 0.7831 0.0000

***

# LaAsRh, optimized geometry, DFT PBE
# - Formation enthalpy at 0 K: -2.54 eV per formula unit
# - Density of states at the Fermi level: 29.1 states/eV/cell
data_LaAsRh
_chemical_formula_sum 'La4 As4 Rh4'
_cell_length_a 6.5542
_cell_length_b 6.5542
_cell_length_c 6.5542
_cell_angle_alpha 90.00
_cell_angle_beta 90.00
_cell_angle_gamma 90.00
_space_group_name_H-M_alt 'F -4 3 m'
_space_group_IT_number 216
_space_group_name_Hall 'F -4 2 3'
loop_
_atom_site_label
_atom_site_type_symbol
_atom_site_fract_x
_atom_site_fract_y
_atom_site_fract_z
La1 La 0.0000 0.0000 0.0000
As1 As 0.0000 0.0000 0.5000
Rh1 Rh 0.2500 0.2500 0.7500

***

Number 1: V 18.69 A^3/atom. Number 2: V 18.42 A^3/atom. Number 3: V 23.46 A^3/atom.